The following is a GGA-PBE calculation of Tb2ErMg3Ir2Au after structural relaxation, from the Open Quantum Materials Database. Values from VASP.

```
&SYSTEM
  ibrav = 0, nat = 9, ntyp = 5
/
ATOMIC_SPECIES
Tb 158.93 Tb.upf
Er 167.26 Er.upf
Mg 24.30 Mg.upf
Ir 192.22 Ir.upf
Au 196.97 Au.upf
ATOMIC_POSITIONS crystal
Tb 0.000 0.209 0.791
Tb 0.000 0.791 0.209
Er 0.000 0.374 0.374
Mg 0.500 0.045 0.045
Mg 0.500 0.537 0.790
Mg 0.500 0.790 0.537
Ir 0.500 0.127 0.457
Ir 0.500 0.457 0.127
Au 0.000 0.789 0.789
CELL_PARAMETERS angstrom
4.016 0.000 0.000
0.000 6.409 3.710
0.000 -6.409 3.710
```


The following is a GGA-PBE calculation of YBi2Ir after structural relaxation, from the Open Quantum Materials Database. Values from VASP.

```
&SYSTEM
  ibrav = 0, nat = 4, ntyp = 3
/
ATOMIC_SPECIES
Y 88.91 Y.upf
Bi 208.98 Bi.upf
Ir 192.22 Ir.upf
ATOMIC_POSITIONS crystal
Y 0.000 0.000 0.000
Bi 0.500 0.500 0.500
Bi 0.750 0.750 0.750
Ir 0.250 0.250 0.250
CELL_PARAMETERS angstrom
0.000 3.668 3.668
3.668 0.000 3.668
3.668 3.668 0.000
```


The following is a GGA-PBE calculation of GdPaIr after structural relaxation, from the Open Quantum Materials Database. Values from VASP.

```
&SYSTEM
  ibrav = 0, nat = 3, ntyp = 3
/
ATOMIC_SPECIES
Gd 157.25 Gd.upf
Pa 231.04 Pa.upf
Ir 192.22 Ir.upf
ATOMIC_POSITIONS crystal
Gd 0.000 0.000 0.000
Pa 0.500 0.500 0.500
Ir 0.750 0.750 0.750
CELL_PARAMETERS angstrom
0.000 3.400 3.400
3.400 0.000 3.400
3.400 3.400 0.000
```


| no. | raw total energy (eV per formula unit) |
| --- | --- |
| 1 | -45.630 |
| 2 | -23.505 |
| 3 | -23.959 |